1.
{
  "formula": "Cu6AgPd8",
  "functional": "GGA-PBE",
  "state": "relaxed",
  "dos_at_fermi_per_ev_cell": 30.19,
  "mass_density_g_cm3": 9.51,
  "formation_enthalpy_0k_mev_per_atom": 118,
  "cell": [[3.6328, 2.0974, 5.1208], [-3.6328, 2.0974, 5.1208], [0.0000, -4.1948, 5.1208]],
  "species": ["Cu", "Cu", "Cu", "Cu", "Cu", "Cu", "Ag", "Pd", "Pd", "Pd", "Pd", "Pd", "Pd", "Pd", "Pd"],
  "frac_coords": [[0.0542, 0.3849, 0.7129], [0.2871, 0.9458, 0.6151], [0.3849, 0.7129, 0.0542], [0.6151, 0.2871, 0.9458], [0.7129, 0.0542, 0.3849], [0.9458, 0.6151, 0.2871], [0.0000, 0.0000, 0.0000], [0.1153, 0.7846, 0.4520], [0.2154, 0.5480, 0.8847], [0.3287, 0.3287, 0.3287], [0.4520, 0.1153, 0.7846], [0.5480, 0.8847, 0.2154], [0.6713, 0.6713, 0.6713], [0.7846, 0.4520, 0.1153], [0.8847, 0.2154, 0.5480]]
}


2.
{
  "formula": "Be6Ni10B",
  "functional": "GGA-PBE",
  "state": "relaxed",
  "dos_at_fermi_per_ev_cell": 9.16,
  "mass_density_g_cm3": 6.82,
  "formation_enthalpy_0k_mev_per_atom": -319,
  "cell": [[6.3110, 0.0000, 0.0000], [-3.1555, 5.4655, 0.0000], [0.0000, 0.0000, 4.5987]],
  "species": ["Be", "Be", "Be", "Be", "Be", "Be", "Ni", "Ni", "Ni", "Ni", "Ni", "Ni", "Ni", "Ni", "Ni", "Ni", "B"],
  "frac_coords": [[0.0000, 0.4015, 0.2379], [0.0000, 0.5985, 0.7621], [0.4015, 0.0000, 0.2379], [0.4015, 0.4015, 0.7621], [0.5985, 0.0000, 0.7621], [0.5985, 0.5985, 0.2379], [0.0000, 0.2476, 0.7335], [0.0000, 0.7524, 0.2665], [0.2476, 0.0000, 0.7335], [0.2476, 0.2476, 0.2665], [0.3333, 0.6667, 0.0000], [0.3333, 0.6667, 0.5000], [0.6667, 0.3333, 0.0000], [0.6667, 0.3333, 0.5000], [0.7524, 0.0000, 0.2665], [0.7524, 0.7524, 0.7335], [0.0000, 0.0000, 0.0000]]
}


3.
{
  "formula": "CoP2PbCl",
  "functional": "GGA-PBE",
  "state": "relaxed",
  "dos_at_fermi_per_ev_cell": 2.58,
  "mass_density_g_cm3": 5.39,
  "formation_energy_uncorrected_ev_per_atom": 0.105,
  "cell": [[4.2274, 0.0000, 0.0000], [0.0000, 4.2274, 0.0000], [0.0000, 0.0000, 6.2698]],
  "species": ["Co", "P", "P", "Pb", "Cl"],
  "frac_coords": [[0.0000, 0.0000, 0.0000], [0.0000, 0.5000, 0.0000], [0.5000, 0.0000, 0.0000], [0.5000, 0.5000, 0.5000], [0.0000, 0.0000, 0.5000]]
}